DFT (GGA-PBE) results for BeAgOs2 after structural relaxation.

Lattice parameters (Å, degrees): 8.683 2.742 5.380 90.00 117.97 90.00
Space group Cm (No. 8)
Asymmetric unit:
Be1 0.000 0.000 0.000
Ag1 0.264 0.000 0.981
Os1 0.137 0.500 0.406
Os2 0.427 0.000 0.598

Calculated values
Energy relative to the elements ... 1.49 eV/f.u.

***

DFT (GGA-PBE) results for CeDy2C after structural relaxation.

Lattice parameters (Å, degrees): 3.4829 3.4829 29.3422 90.00 90.00 120.00
Space group R-3m (No. 166, hexagonal axes)
Asymmetric unit:
Ce1 0.0000 0.0000 0.0000
Dy1 0.0000 0.0000 0.1201
C1 0.0000 0.0000 0.5000

Calculated values
Energy relative to the elements ... -0.20 eV/f.u.

***

DFT (GGA-PBE) results for Tb3CdS after structural relaxation.

Lattice parameters (Å, degrees): 9.082 3.905 15.000 90.00 90.00 90.00
Space group Pnma (No. 62)
Asymmetric unit:
Tb1 0.025 0.250 0.109
Tb2 0.165 0.250 0.518
Tb3 0.200 0.750 0.287
Cd1 0.078 0.750 0.678
S1 0.164 0.250 0.948

Calculated values
Formation energy from raw total energies ... -0.912 eV per atom
Offset from the most stable computed form ... 0 meV/atom

***

DFT (GGA-PBE) results for Ni4Te3N2 after structural relaxation.

Lattice parameters (Å, degrees): 6.463 13.424 3.563 90.00 90.00 90.00
Space group Pnnm (No. 58)
Asymmetric unit:
Ni1 0.141 0.101 0.000
Ni2 0.171 0.942 0.500
Te1 0.000 0.500 0.500
Te2 0.203 0.798 0.000
N1 0.122 0.083 0.500

Calculated values
Formation energy from raw total energies ... 0.220 eV per atom

***

For each record above, in turn, the calculated calculated total energy values are -6.888; -6.141; -4.699; -5.247 eV/atom.
For each record above, in turn, the calculated magnetic moment values are 0.000; 1.500; 0.000; 0.000 μB per formula unit.